Here is a relaxed Cs2KMoF8 crystal from the Alexandria database. Energies are from GGA+U.

Values from the calculation:
The value obtained for the magnetization is 1.977 μB per cell. For the volume, the calculation gives 19.93 Å³/atom. For the density of states at the Fermi level, the calculation gives 0.000 states/eV/atom. The total energy is -111.77 eV per cell.

Cell lengths 6.3675, 6.3675, 11.7990 Å; angles 90.00, 90.00, 90.00 degrees
Closest atoms and distances in Å follow each position.
Space group I-4m2 (No. 119)
Unique sites:
Cs  0.0000  0.0000  0.0000 [2 per cell]  8 F 2.92
Cs  0.0000  0.5000  0.2500 [2 per cell]  8 F 3.07
K  0.0000  0.0000  0.5000 [2 per cell]  8 F 2.89
Mo  0.0000  0.5000  0.7500 [2 per cell]  8 F 2.07
F  0.1838  0.3109  0.6478 [16 per cell]  1 Mo 2.07